Record 1
8
Lattice="-0.355 4.028 3.309 1.742 -0.484 4.902 8.220 3.908 0.249" Properties=species:S:1:pos:R:3 comment="Ca2MgHg4Pb GGA-PBE optimized geometry" sg="R-3m (166)" pbc="T T T"
Ca 7.279 5.615 6.321
Ca 2.329 1.837 2.138
Mg 4.804 3.726 4.230
Hg 7.506 4.676 3.363
Hg 4.478 4.630 7.220
Hg 5.131 2.822 1.240
Hg 2.102 2.776 5.096
Pb 0.000 0.000 0.000



Record 2
20
Lattice="-1.657 -1.350 -3.388 7.091 -7.087 -0.644 -5.778 -6.264 5.320" Properties=species:S:1:pos:R:3 comment="Ca2MgHg2Pd5 GGA-PBE optimized geometry" sg="P4/mbm (127)" pbc="T T T"
Ca 3.767 -5.800 0.468
Ca -2.454 -7.551 4.208
Ca -0.714 -3.271 1.652
Ca 2.027 -10.080 3.024
Mg 0.000 0.000 0.000
Mg 0.656 -6.676 2.338
Hg -2.718 -4.871 3.269
Hg 4.031 -8.480 1.407
Hg -0.556 -9.915 4.221
Hg 1.869 -3.436 0.455
Pd 0.190 -2.397 -1.506
Pd -0.534 -12.304 2.794
Pd -5.086 -6.155 2.570
Pd 1.523 -8.340 0.210
Pd 4.742 -8.546 -1.283
Pd -1.866 -6.361 1.078
Pd -0.862 -8.963 1.624
Pd 0.519 -5.738 -0.336
Pd 2.717 -4.218 -2.016
Pd -3.717 -3.807 0.966



Record 3
5
Lattice="5.497 0.000 0.000 0.000 5.497 0.000 0.000 0.000 5.058" Properties=species:S:1:pos:R:3 comment="Ca2MgHgPd GGA-PBE optimized geometry" sg="P4/mmm (123)" pbc="T T T"
Mg 0.000 0.000 2.529
Ca 0.000 2.749 0.000
Ca 2.749 0.000 0.000
Hg 2.749 2.749 2.529
Pd 0.000 0.000 0.000



Record 4
8
Lattice="-4.430 -1.161 -2.571 0.224 -1.918 -4.884 -1.134 -9.060 0.682" Properties=species:S:1:pos:R:3 comment="CaPm2MgHg4 GGA-PBE optimized geometry" sg="R-3m (166)" pbc="T T T"
Ca 0.000 0.000 0.000
Pm -4.007 -9.015 -5.115
Pm -1.332 -3.124 -1.658
Mg -2.670 -6.070 -3.387
Hg -2.568 -9.098 -2.193
Hg -4.105 -6.089 -6.269
Hg -1.234 -6.050 -0.505
Hg -2.771 -3.041 -4.581



One value per record, in order, for ΔH_f (0 K): -309 -464 -173 -383 kJ/mol of formula units.